Material: Mo4P9O32
Method: DFT, PBE+U
State: optimized geometry

Properties
* space group: P-42_1c, No. 114
* spin magnetization: 5.00 μB per formula unit
* total energy: -7.1936 eV/atom

```
90
Lattice="-1.4182 -6.2401 -0.9318 13.5242 -2.3316 -4.9690 4.4589 -3.0385 13.5616" Properties=species:S:1:pos:R:3 pbc="T T T"
P 4.5045 -2.4875 4.9683
P -0.7091 -3.1201 -0.4659
P 10.6676 -7.7982 6.5100
P 13.1731 -4.2270 3.4235
P 7.1062 -7.4590 -0.9083
P 11.3779 -5.0706 1.2379
P 8.3462 -9.0469 7.8380
P 3.6380 -1.8954 0.1185
P 5.4526 -5.7691 0.8585
P 13.9004 -5.4318 8.1818
P 1.2176 -4.8378 3.2707
P 11.9410 -8.0914 -1.8286
P 7.7558 -6.0282 10.9603
P 15.0419 -8.1168 4.1894
P 3.6506 -7.8019 8.8497
P 9.1148 -4.2377 -3.0987
P 5.6319 -4.5826 6.7151
P 8.9916 -2.6851 4.2963
O 6.8919 -7.9407 4.3392
O 11.2371 -9.0296 2.0925
O 9.6607 -8.1035 7.7144
O 2.7517 -4.2439 -1.8116
O 3.9784 -2.0956 -1.4312
O 8.0337 -9.4158 9.2159
O 4.1082 -5.2551 0.3823
O 10.6159 -3.7779 1.5727
O 5.2307 -2.9199 3.6312
O 13.5491 -10.5935 7.4690
O 2.7272 -4.8636 9.5846
O 2.4977 -2.8601 0.4827
O 14.0577 -7.5244 3.2879
O 14.4466 -8.6523 5.5536
O 13.4825 -8.1505 -1.4070
O 4.5008 -3.8436 5.8597
O 5.9397 -5.8981 5.9911
O 12.6589 -5.1499 2.1919
O 2.3009 -4.9942 4.2373
O 14.5457 -6.6450 7.4925
O 4.4085 -7.9161 7.5417
O 10.0900 -3.9931 7.7796
O 4.0703 -5.0960 12.0225
O 13.5855 -8.3688 9.3227
O 13.1286 -3.0060 -1.8780
O 5.0694 -4.7998 8.1061
O 11.8823 -5.1091 -0.1912
O 1.7258 -6.6931 -0.6558
O 6.2482 -4.7118 1.6321
O 13.4101 -5.8913 9.6330
O 6.8888 -3.6974 6.7056
O 10.4449 -6.3347 6.1128
O 7.3196 -7.5262 -2.3514
O 15.8789 -9.1167 7.9149
O 12.9075 -4.6982 -4.0905
O 11.1250 -8.2329 -0.5587
O 8.1100 -4.3998 -2.0516
O 9.5839 -3.9051 5.0342
O 4.7265 -2.9279 10.3864
O 12.2493 -4.6643 4.6308
O 8.6676 -8.0936 2.6609
O 14.0657 -5.7443 -1.7741
O 5.3419 -7.0412 1.7146
O 8.4330 -7.4221 -0.0478
O 8.6615 -6.3021 9.8481
O 12.6837 -4.9079 7.4446
O 0.2733 -4.3096 -0.5254
O 11.6980 -6.7583 -2.5547
O 4.9128 -2.1636 0.8939
O 7.2170 -8.2142 7.1073
O 3.1713 -1.9223 4.7802
O 6.3096 -6.1236 -0.4444
O 10.2834 -8.7040 5.3287
O 10.6072 -4.1878 -2.5768
O 2.2591 -7.0831 8.5267
O 4.1376 -7.8183 4.7861
O 12.0702 -8.0565 7.0244
O 6.4610 -5.2084 10.5682
O 1.6152 -5.1721 1.7765
O 7.9865 -3.2811 3.2872
O 7.6653 -2.3794 0.6633
O 14.6055 -4.3562 3.6767
O 4.3885 -6.9571 9.9011
O 10.4972 -6.2760 1.5855
Mo 5.6985 -7.9051 5.9478
Mo 12.3751 -4.8600 -2.1660
Mo 9.8630 -8.1207 1.0536
Mo 11.1301 -4.4341 6.1930
Mo 4.6046 -4.9256 10.0993
Mo 13.9976 -8.6222 7.4361
Mo 2.1527 -4.8127 -0.0478
Mo 6.4385 -2.7607 2.1271
```